Ho2TeAs: relaxed, GGA-PBE.

Cell: 7.4357 7.4357 7.4357 Å, 32.59 32.59 32.59°
Element x y z (fractional)
1 Ho 0.2390 0.2390 0.2390
2 Ho 0.7610 0.7610 0.7610
3 Te 0.0000 0.0000 0.0000
4 As 0.5000 0.5000 0.5000

Properties
SG: R-3m (166)
Calculated density (kg/m3): 8334
Uncorrected energy (eV/atom): -5.71